## i
A plane-wave DFT calculation with PBE was carried out for MgAlHg3 after structural relaxation.

Computed properties:
Calculated volume ... 153.6 Å³ per cell
Total magnetic moment ... 0.0 μB/f.u.

Cell: 5.356 5.356 5.356 Å, 90.00 90.00 90.00°
Space group Pm-3m (No. 221)
Unique sites:
Mg: 0.000 0.000 0.000 x1
Al: 0.500 0.500 0.500 x1
Hg: 0.000 0.000 0.500 x3

## ii
A plane-wave DFT calculation with PBE was carried out for MgAlHg3 after structural relaxation.

Computed properties:
Calculated volume ... 144.5 Å³ per cell
Total magnetic moment ... 0.0 μB/f.u.

Cell: 5.247 5.247 5.247 Å, 90.00 90.00 90.00°
Space group Pm-3m (No. 221)
Unique sites:
Mg: 0.000 0.000 0.000 x1
Al: 0.500 0.500 0.500 x1
Hg: 0.000 0.500 0.500 x3

Which is most stable, and by how much? ii, by 209 meV per atom.

## i
A plane-wave DFT calculation with PBE was carried out for Mg4AlHg after structural relaxation.

Computed properties:
Calculated volume ... 265.8 Å³ per cell
Total magnetic moment ... 0.0 μB/f.u.

Cell: 6.026 7.904 6.026 Å, 90.00 112.17 90.00°
Space group C2/m (No. 12)
Unique sites:
Mg: 0.249 0.193 0.250 x8
Al: 0.000 0.500 0.000 x2
Hg: 0.000 0.000 0.500 x2

## ii
A plane-wave DFT calculation with PBE was carried out for Mg4AlHg after structural relaxation.

Computed properties:
Calculated volume ... 542.2 Å³ per cell
Total magnetic moment ... 0.0 μB/f.u.

Cell: 8.154 8.154 8.154 Å, 90.00 90.00 90.00°
Space group F-43m (No. 216)
Unique sites:
Mg: 0.125 0.125 0.125 x16
Al: 0.250 0.250 0.750 x4
Hg: 0.000 0.000 0.500 x4

## iii
A plane-wave DFT calculation with PBE was carried out for Mg4AlHg after structural relaxation.

Computed properties:
Calculated volume ... 511.6 Å³ per cell
Total magnetic moment ... 0.0 μB/f.u.

Cell: 8.071 3.361 18.862 Å, 90.00 90.00 90.00°
Space group Pnma (No. 62)
Unique sites:
Mg: 0.042 0.250 0.067 x4
Mg: 0.057 0.250 0.796 x4
Mg: 0.114 0.250 0.332 x4
Mg: 0.117 0.250 0.561 x4
Al: 0.249 0.750 0.443 x4
Hg: 0.242 0.750 0.689 x4

Which is most stable, and by how much? iii, by 37 meV per atom.

## i
A plane-wave DFT calculation with PBE was carried out for Mg16Al12Hg after structural relaxation.

Computed properties:
Calculated volume ... 1756.8 Å³ per cell
Total magnetic moment ... 0.0 μB/f.u.

Cell: 14.8438 14.8438 9.2068 Å, 90.00 90.00 120.00°
Space group R3m (No. 160, hexagonal axes)
Unique sites:
Mg: 0.0000 0.0000 0.0000 x3
Mg: 0.0148 0.3061 0.3078 x18
Mg: 0.0675 0.5337 0.2226 x9
Mg: 0.2000 0.1000 0.5064 x9
Mg: 0.2182 0.4363 0.7841 x9
Al: 0.0624 0.1248 0.2965 x9
Al: 0.0829 0.5414 0.7300 x9
Al: 0.1481 0.4803 0.4901 x18
Hg: 0.0000 0.0000 0.6689 x3

## ii
A plane-wave DFT calculation with PBE was carried out for Mg16Al12Hg after structural relaxation.

Computed properties:
Calculated volume ... 1166.7 Å³ per cell
Total magnetic moment ... 0.0 μB/f.u.

Cell: 10.539 14.795 9.116 Å, 90.00 124.83 90.00°
Space group Cm (No. 8)
Unique sites:
Mg: 0.000 0.000 0.000 x2
Mg: 0.003 0.000 0.343 x2
Mg: 0.060 0.344 0.403 x4
Mg: 0.150 0.500 0.667 x2
Mg: 0.155 0.158 0.602 x4
Mg: 0.174 0.175 0.996 x4
Mg: 0.191 0.500 0.293 x2
Mg: 0.302 0.299 0.319 x4
Mg: 0.461 0.137 0.000 x4
Mg: 0.485 0.195 0.685 x4
Al: 0.006 0.186 0.189 x4
Al: 0.180 0.000 0.820 x2
Al: 0.234 0.408 0.010 x4
Al: 0.273 0.094 0.359 x4
Al: 0.319 0.314 0.819 x4
Al: 0.368 0.000 0.179 x2
Al: 0.407 0.407 0.637 x4
Hg: 0.376 0.000 0.697 x2

Which is most stable, and by how much? ii, by 5 meV per atom.

## i
A plane-wave DFT calculation with PBE was carried out for Mg8AlHg2 after structural relaxation.

Computed properties:
Calculated volume ... 498.5 Å³ per cell
Total magnetic moment ... 0.0 μB/f.u.

Cell: 7.786 13.169 5.177 Å, 90.00 110.11 90.00°
Space group C2/m (No. 12)
Unique sites:
Mg: 0.000 0.219 0.000 x4
Mg: 0.110 0.500 0.802 x4
Mg: 0.205 0.113 0.625 x8
Al: 0.000 0.000 0.000 x2
Hg: 0.000 0.304 0.500 x4

## ii
A plane-wave DFT calculation with PBE was carried out for Mg8AlHg2 after structural relaxation.

Computed properties:
Calculated volume ... 478.7 Å³ per cell
Total magnetic moment ... 0.0 μB/f.u.

Cell: 4.626 7.453 13.885 Å, 90.00 90.00 90.00°
Space group Immm (No. 71)
Unique sites:
Mg: 0.000 0.000 0.155 x4
Mg: 0.000 0.226 0.344 x8
Mg: 0.000 0.290 0.000 x4
Al: 0.000 0.500 0.500 x2
Hg: 0.000 0.500 0.184 x4

Which is most stable, and by how much? ii, by 47 meV per atom.